FeCoPS2, optimized geometry, DFT GGA-PBE; electronic total energy = -5.052 eV per atom; ΔE_f (raw) = 795 meV/atom; M_tot = 0.50 μB per atom; offset from the most stable computed form = 0 kJ/mol of formula units; crystal system = tetragonal
1.0
4.508 0.000 0.000
0.000 4.508 0.000
0.000 0.000 4.133
Fe Co P S
1 1 1 2
Direct
0.000 0.000 0.000
0.500 0.500 0.500
0.000 0.000 0.500
0.000 0.500 0.000
0.500 0.000 0.000

Pm4Ho5In2, optimized geometry, DFT GGA-PBE; electronic total energy = -4.128 eV per atom; M_tot = 0.00 μB per atom; crystal system = trigonal
1.0
2.624 1.515 15.638
-2.624 1.515 15.638
0.000 -3.030 15.638
Pm Ho In
4 5 2
Direct
0.073 0.073 0.073
0.226 0.226 0.226
0.774 0.774 0.774
0.927 0.927 0.927
0.000 0.000 0.000
0.148 0.148 0.148
0.303 0.303 0.303
0.697 0.697 0.697
0.852 0.852 0.852
0.378 0.378 0.378
0.622 0.622 0.622

Pm2SmBr8, optimized geometry, DFT GGA-PBE; electronic total energy = -4.182 eV per atom; ΔE_f (raw) = -1672 meV/atom; M_tot = 0.09 μB per atom; crystal system = monoclinic
1.0
9.198 -3.877 0.000
9.198 3.877 0.000
-0.966 0.000 6.988
Pm Sm Br
2 1 8
Direct
0.147 0.147 0.449
0.853 0.853 0.551
0.000 0.000 0.000
0.141 0.141 0.849
0.205 0.681 0.726
0.288 0.288 0.374
0.319 0.795 0.274
0.681 0.205 0.726
0.712 0.712 0.626
0.795 0.319 0.274
0.859 0.859 0.151

> M_tot of number 2 (Pm4Ho5In2)?

0.00 μB per atom